1.
A relaxed structure of PtSeBr2Cl. Source: Alexandria via LeMat-Bulk, functional GGA-PBE.

Properties
Calculated total energy = -1.71 eV/atom
DOS at the Fermi energy = 1.33 states/eV/atom
Formation energy from raw total energies = 1235 meV/atom

abc: 5.130 5.130 5.105
angles: 90.00 90.00 90.00
Positions (direct):
Se 0.000 0.000 0.500
Br 0.000 0.500 0.000
Br 0.500 0.000 0.000
Pt 0.500 0.500 0.500
Cl 0.000 0.000 0.000

=====

2.
A relaxed structure of YMg3Sc. Source: Alexandria via LeMat-Bulk, functional GGA-PBE.

Properties
Calculated total energy = -3.41 eV/atom
DOS at the Fermi energy = 1.04 states/eV/atom
Formation energy from the elements = 0.5 eV per formula unit

abc: 7.456 7.456 10.537
angles: 90.00 90.00 63.42
Positions (direct):
Y 0.868 0.868 0.250
Y 0.132 0.132 0.750
Y 0.339 0.339 0.250
Y 0.661 0.661 0.750
Mg 0.807 0.435 0.250
Mg 0.193 0.565 0.750
Mg 0.565 0.193 0.750
Mg 0.435 0.807 0.250
Mg 0.093 0.093 0.404
Mg 0.907 0.907 0.904
Mg 0.907 0.907 0.596
Mg 0.093 0.093 0.096
Mg 0.318 0.682 0.000
Mg 0.682 0.318 0.500
Mg 0.682 0.318 0.000
Mg 0.318 0.682 0.500
Sc 0.500 0.000 0.000
Sc 0.500 0.000 0.500
Sc 0.000 0.500 0.000
Sc 0.000 0.500 0.500

=====

3.
A relaxed structure of Tb4Al5Si6. Source: Alexandria via LeMat-Bulk, functional GGA-PBE.

Properties
Calculated total energy = -5.08 eV/atom
DOS at the Fermi energy = 0.51 states/eV/atom
Formation energy from raw total energies = -432 meV/atom

abc: 4.186 9.675 15.103
angles: 90.00 90.00 102.50
Positions (direct):
Tb 0.962 0.924 0.267
Tb 0.038 0.076 0.767
Tb 0.165 0.329 0.307
Tb 0.835 0.671 0.807
Tb 0.819 0.639 0.445
Tb 0.181 0.361 0.945
Tb 0.016 0.032 0.500
Tb 0.984 0.968 0.000
Al 0.444 0.889 0.680
Al 0.556 0.111 0.180
Al 0.151 0.302 0.627
Al 0.849 0.698 0.127
Al 0.644 0.289 0.474
Al 0.356 0.711 0.974
Al 0.305 0.611 0.619
Al 0.695 0.389 0.119
Al 0.340 0.680 0.280
Al 0.660 0.320 0.780
Si 0.770 0.540 0.260
Si 0.428 0.857 0.407
Si 0.785 0.569 0.989
Si 0.215 0.431 0.489
Si 0.448 0.895 0.852
Si 0.552 0.105 0.352
Si 0.427 0.854 0.129
Si 0.573 0.146 0.629
Si 0.110 0.220 0.119
Si 0.890 0.780 0.619
Si 0.572 0.143 0.907
Si 0.230 0.460 0.760